Entry 1:
Computed, not measured: CdGa after structural relaxation at the PBE level of DFT.

It has space group Fm-3m (No. 225), with a = 5.699 Å, b = 5.699 Å, c = 5.699 Å, α = 90.00°, β = 90.00° and γ = 90.00°. Symmetry generates all atoms from Cd at (0.000, 0.000, 0.000) and Ga at (0.000, 0.000, 0.500).

For the total energy, the calculation gives -1.80 eV/atom. The calculation puts the density at 6.5 g/cm3.

Entry 2:
Computed, not measured: CdGa after structural relaxation at the PBE level of DFT.

It has space group F-43m (No. 216), with a = 6.220 Å, b = 6.220 Å, c = 6.220 Å, α = 90.00°, β = 90.00° and γ = 90.00°. Symmetry generates all atoms from Cd at (0.000, 0.000, 0.000) and Ga at (0.250, 0.250, 0.750).

For the total energy, the calculation gives -1.55 eV/atom. The calculation puts the density at 5.0 g/cm3.

Entry 3:
Computed, not measured: CdGa2 after structural relaxation at the PBE level of DFT.

It has space group Fd-3m (No. 227, origin choice 2), with a = 7.885 Å, b = 7.885 Å, c = 7.885 Å, α = 90.00°, β = 90.00° and γ = 90.00°. Symmetry generates all atoms from Cd at (0.125, 0.125, 0.125) and Ga at (0.000, 0.000, 0.500).

For the total energy, the calculation gives -2.23 eV/atom. The calculation puts the density at 6.8 g/cm3.

Entry 4:
Computed, not measured: Cd3Ga2 after structural relaxation at the PBE level of DFT.

It has space group P4/mbm (No. 127), with a = 7.190 Å, b = 7.190 Å, c = 4.291 Å, α = 90.00°, β = 90.00° and γ = 90.00°. Symmetry generates all atoms from Cd at (0.000, 0.000, 0.000), Cd at (0.177, 0.323, 0.500) and Ga at (0.129, 0.629, 0.000).

For the total energy, the calculation gives -1.68 eV/atom. The calculation puts the density at 7.1 g/cm3.

Entry 5:
Computed, not measured: CdGa2 after structural relaxation at the PBE level of DFT.

It has space group Fm-3m (No. 225), with a = 6.490 Å, b = 6.490 Å, c = 6.490 Å, α = 90.00°, β = 90.00° and γ = 90.00°. Symmetry generates all atoms from Cd at (0.000, 0.000, 0.000) and Ga at (0.250, 0.250, 0.250).

For the total energy, the calculation gives -2.19 eV/atom. The calculation puts the density at 6.1 g/cm3.

Entry 6:
Computed, not measured: CdGa2 after structural relaxation at the PBE level of DFT.

It has space group Fd-3m (No. 227, origin choice 2), with a = 11.844 Å, b = 11.844 Å, c = 11.844 Å, α = 90.00°, β = 90.00° and γ = 90.00°. Symmetry generates all atoms from Cd at (0.125, 0.125, 0.125) and Ga at (0.000, 0.000, 0.000).

For the total energy, the calculation gives -1.52 eV/atom. The calculation puts the density at 2.0 g/cm3.

Entry 7:
Computed, not measured: GdCd2Ga after structural relaxation at the PBE level of DFT.

It has space group Amm2 (No. 38), with a = 4.827 Å, b = 6.736 Å, c = 11.115 Å, α = 90.00°, β = 90.00° and γ = 90.00°. Symmetry generates all atoms from Gd at (0.000, 0.000, 0.000), Gd at (0.500, 0.000, 0.322), Cd at (0.000, 0.000, 0.508), Cd at (0.500, 0.000, 0.821), Cd at (0.500, 0.237, 0.583) and Ga at (0.000, 0.245, 0.747).

For the total energy, the calculation gives -2.72 eV/atom. The calculation puts the density at 8.3 g/cm3.

Entry 8:
Computed, not measured: Gd2CdGa5 after structural relaxation at the PBE level of DFT.

It has space group Amm2 (No. 38), with a = 4.617 Å, b = 6.459 Å, c = 10.909 Å, α = 90.00°, β = 90.00° and γ = 90.00°. Symmetry generates all atoms from Gd at (0.000, 0.000, 0.000), Gd at (0.500, 0.000, 0.320), Cd at (0.500, 0.000, 0.813), Ga at (0.000, 0.000, 0.511), Ga at (0.000, 0.221, 0.732) and Ga at (0.500, 0.225, 0.577).

For the total energy, the calculation gives -3.65 eV/atom. The calculation puts the density at 7.9 g/cm3.

Entry 9:
Computed, not measured: GdCd2Ga after structural relaxation at the PBE level of DFT.

It has space group Ama2 (No. 40), with a = 4.885 Å, b = 11.125 Å, c = 6.643 Å, α = 90.00°, β = 90.00° and γ = 90.00°. Symmetry generates all atoms from Gd at (0.250, 0.163, 0.000), Cd at (0.250, 0.158, 0.511), Cd at (0.250, 0.419, 0.770) and Ga at (0.250, 0.418, 0.256).

For the total energy, the calculation gives -2.72 eV/atom. The calculation puts the density at 8.3 g/cm3.

Entry 10:
Computed, not measured: GdCd2Ga after structural relaxation at the PBE level of DFT.

It has space group Cmcm (No. 63), with a = 6.244 Å, b = 12.070 Å, c = 4.796 Å, α = 90.00°, β = 90.00° and γ = 90.00°. Symmetry generates all atoms from Gd at (0.000, 0.182, 0.250), Cd at (0.243, 0.428, 0.250) and Ga at (0.000, 0.336, 0.750).

For the total energy, the calculation gives -2.75 eV/atom. The calculation puts the density at 8.3 g/cm3.

Entry 11:
Computed, not measured: Gd3CdGa2Ge2Pd after structural relaxation at the PBE level of DFT.

It has space group Amm2 (No. 38), with a = 4.319 Å, b = 12.457 Å, c = 7.126 Å, α = 90.00°, β = 90.00° and γ = 90.00°. Symmetry generates all atoms from Gd at (0.000, 0.000, 0.000), Gd at (0.000, 0.204, 0.389), Cd at (0.500, 0.000, 0.345), Ga at (0.500, 0.169, 0.089), Ge at (0.500, 0.125, 0.712) and Pd at (0.000, 0.000, 0.606).

For the total energy, the calculation gives -4.58 eV/atom. The calculation puts the density at 8.4 g/cm3.

Entry 12:
Computed, not measured: GdHo2Mg3CdGa2 after structural relaxation at the PBE level of DFT.

It has space group Amm2 (No. 38), with a = 4.467 Å, b = 12.804 Å, c = 7.351 Å, α = 90.00°, β = 90.00° and γ = 90.00°. Symmetry generates all atoms from Gd at (0.000, 0.000, 0.000), Ho at (0.000, 0.216, 0.353), Mg at (0.500, 0.000, 0.319), Mg at (0.500, 0.125, 0.693), Cd at (0.000, 0.000, 0.566) and Ga at (0.500, 0.168, 0.069).

For the total energy, the calculation gives -3.26 eV/atom. The calculation puts the density at 6.4 g/cm3.

Entry 13:
Computed, not measured: LaGdCd2Ga2 after structural relaxation at the PBE level of DFT.

It has space group P3m1 (No. 156), with a = 4.6992 Å, b = 4.6992 Å, c = 7.6155 Å, α = 90.00°, β = 90.00° and γ = 120.00°. Symmetry generates all atoms from La at (0.0000, 0.0000, 0.0000), Gd at (0.0000, 0.0000, 0.4989), Cd at (0.3333, 0.6667, 0.7576), Cd at (0.6667, 0.3333, 0.2912), Ga at (0.3333, 0.6667, 0.2156) and Ga at (0.6667, 0.3333, 0.6943).

For the total energy, the calculation gives -3.43 eV/atom. The calculation puts the density at 7.5 g/cm3.

Entry 14:
Computed, not measured: Gd3Mg3CdGa2 after structural relaxation at the PBE level of DFT.

It has space group P-62m (No. 189), with a = 7.4078 Å, b = 7.4078 Å, c = 4.5008 Å, α = 90.00°, β = 90.00° and γ = 120.00°. Symmetry generates all atoms from Gd at (0.0000, 0.4297, 0.0000), Mg at (0.0000, 0.7508, 0.5000), Cd at (0.0000, 0.0000, 0.0000) and Ga at (0.3333, 0.6667, 0.5000).

For the total energy, the calculation gives -3.28 eV/atom. The calculation puts the density at 6.2 g/cm3.